[1]
SrCuTe2Pd | PBE-GGA | relaxed

a b c (Å): 6.1069 5.2631 6.1069
angles (deg): 90.00 90.00 90.00
Closest atoms and distances in Å follow each position.
Sites, in units of the cell vectors:
Cu 0.5000 0.5000 0.5000  8 Te 4.03, 4 Pd 4.32
Te 0.5000 0.0000 0.0000  2 Sr 3.05
Sr 0.0000 0.0000 0.0000  2 Pd 2.63
Te 0.0000 0.0000 0.5000  2 Sr 3.05
Pd 0.0000 0.5000 0.0000  2 Sr 2.63

Calculated values
energy relative to the elements, uncorrected	3.93	eV per formula unit

***

[2]
LaIn3Pt | PBE-GGA | relaxed

a b c (Å): 5.9829 5.9829 5.9829
angles (deg): 90.00 90.00 90.00
Closest atoms and distances in Å follow each position.
Sites, in units of the cell vectors:
In 0.0000 0.5000 0.0000  2 La 2.99
In 0.5000 0.0000 0.0000  2 La 2.99
In 0.0000 0.0000 0.5000  2 La 2.99
La 0.0000 0.0000 0.0000  6 In 2.99
Pt 0.5000 0.5000 0.5000  12 In 4.23

Calculated values
energy relative to the elements	1.262	eV/atom
excess energy over the best structure of this formula in the dataset	1879	meV/atom

***

[3]
InRe2Os | PBE-GGA | relaxed

a b c (Å): 9.2750 9.2750 9.2750
angles (deg): 17.69 17.69 17.69
Closest atoms and distances in Å follow each position.
Sites, in units of the cell vectors:
Re 0.0004 0.0004 0.0004  3 Os 2.69, 9 Re 2.70-2.85
In 0.4995 0.4995 0.4995  6 In 2.85, 3 Os 2.92, 3 Re 2.95
Re 0.2557 0.2557 0.2557  9 Re 2.70-2.85, 3 In 2.95
Os 0.7445 0.7445 0.7445  3 Re 2.69, 6 Os 2.85, 3 In 2.92

Calculated values
energy relative to the elements	0.331	eV/atom

***

[4]
Sm5Ga4Cu | PBE-GGA | relaxed

a b c (Å): 3.5773 3.5773 18.7405
angles (deg): 90.00 90.00 90.00
Closest atoms and distances in Å follow each position.
Sites, in units of the cell vectors:
Ga 0.0000 0.0000 0.6010  8 Sm 3.16
Sm 0.5000 0.5000 0.5000  8 Ga 3.16
Sm 0.5000 0.5000 0.7023  8 Ga 3.16-3.18
Sm 0.5000 0.5000 0.9039  4 Cu 3.11, 4 Ga 3.13
Ga 0.0000 0.0000 0.3990  8 Sm 3.16
Cu 0.0000 0.0000 0.0000  8 Sm 3.11
Ga 0.0000 0.0000 0.1949  8 Sm 3.13-3.18
Sm 0.5000 0.5000 0.0961  4 Cu 3.11, 4 Ga 3.13
Sm 0.5000 0.5000 0.2977  8 Ga 3.16-3.18
Ga 0.0000 0.0000 0.8051  8 Sm 3.13-3.18

Calculated values
energy relative to the elements	-0.484	eV/atom